The following is a PBE calculation of a geometry-optimized LiPr3Sm4S8 structure, from Alexandria via LeMat-Bulk.

Values from the calculation:
E_form (uncorrected): -1.964 eV/atom

Cell: 8.0663 8.0681 8.0665 Å, 119.99 120.00 90.00°
Last column: nearest neighbours and their distance in Å.
Sites, in units of the cell vectors:
Li: 0.0000 0.5000 0.0000  6 S 2.80
Pr: 0.5000 0.5000 0.0000  6 S 2.88-2.89
Pr: 0.5000 0.5000 0.5000  6 S 2.88-2.89
Pr: 0.0000 0.5000 0.5000  6 S 2.88-2.89
Sm: 0.5000 0.0000 0.0000  6 S 2.90
Sm: 0.5000 0.0000 0.5000  6 S 2.82
Sm: 0.0000 0.0000 0.0000  6 S 2.82
Sm: 0.0000 0.0000 0.5000  6 S 2.82
S: 0.2456 0.7513 0.0056  1 Li 2.80, 3 Sm 2.82-2.90, 2 Pr 2.88-2.89
S: 0.2457 0.7514 0.4914  1 Li 2.80, 3 Sm 2.82-2.90, 2 Pr 2.88
S: 0.2471 0.2413 0.4942  3 Sm 2.82, 3 Pr 2.89
S: 0.7600 0.7513 0.0056  1 Li 2.80, 3 Sm 2.82-2.90, 2 Pr 2.88-2.89
S: 0.2400 0.2487 0.9944  1 Li 2.80, 3 Sm 2.82-2.90, 2 Pr 2.88-2.89
S: 0.7529 0.7587 0.5058  3 Sm 2.82, 3 Pr 2.89
S: 0.7543 0.2486 0.5086  1 Li 2.80, 3 Sm 2.82-2.90, 2 Pr 2.88
S: 0.7544 0.2487 0.9944  1 Li 2.80, 3 Sm 2.82-2.90, 2 Pr 2.88-2.89